Ag3MoRu after structural relaxation. Source: Alexandria, functional GGA-PBE.

Cell: 4.9777 4.9777 4.9777 Å, 90.00 90.00 90.00°
Space group Pm-3m (No. 221)
One atom of each set of equivalent atoms:
Ag 0.0000 0.0000 0.5000 (multiplicity 3)
Mo 0.0000 0.0000 0.0000 (multiplicity 1)
Ru 0.5000 0.5000 0.5000 (multiplicity 1)

Results
* magnetization: 2.89 μB per formula unit
* crystal system: cubic
* distance to the lowest polymorph of the same formula: 0.292 eV/atom
* mass density: 7.01 g cm⁻³
* formation energy from the elements: 10.9 eV per formula unit
* DOS(E_F): 1.01 states/eV/atom
* E_tot: -3.554 eV/atom
* calculated volume: 24.667 Å³/atom